# BaCdGeSe4 | Alexandria via LeMat-Bulk | PBE-GGA | relaxed
# Energy relative to the elements, uncorrected   -0.83 eV per atom
data_BaCdGeSe4
_chemical_formula_sum 'Ba2 Cd2 Ge2 Se8'
_cell_length_a 6.601
_cell_length_b 7.363
_cell_length_c 8.796
_cell_angle_alpha 90.00
_cell_angle_beta 103.69
_cell_angle_gamma 90.00
_space_group_name_H-M_alt 'P 1 21/m 1'
_space_group_IT_number 11
_space_group_name_Hall '-P 2yb'
loop_
_atom_site_label
_atom_site_type_symbol
_atom_site_fract_x
_atom_site_fract_y
_atom_site_fract_z
_atom_site_occupancy
Ba1 Ba 0.224 0.250 0.053 1
Cd1 Cd 0.182 0.250 0.520 1
Ge1 Ge 0.228 0.750 0.314 1
Se1 Se 0.027 0.008 0.717 1
Se2 Se 0.335 0.750 0.077 1
Se3 Se 0.462 0.750 0.563 1